Entry 1:
BeCoGePt GGA-PBE optimized geometry; V = 49 Å³/cell; magnetization = 1.19 μB per cell; ΔE to the lowest computed polymorph = 0 meV per atom; crystal system = cubic
1.0
0.000 2.907 2.907
2.907 0.000 2.907
2.907 2.907 0.000
Co Pt Ge Be
1 1 1 1
Direct
0.750 0.750 0.750 Co
0.250 0.250 0.250 Pt
0.000 0.000 0.000 Ge
0.500 0.500 0.500 Be

---

Entry 2:
SrNdNb GGA-PBE optimized geometry; V = 112 Å³/cell; magnetization = 3.58 μB per cell; ΔE to the lowest computed polymorph = 0 meV per atom; crystal system = cubic
1.0
0.000 3.829 3.829
3.829 0.000 3.829
3.829 3.829 0.000
Nd Sr Nb
1 1 1
Direct
0.250 0.250 0.250 Nd
0.750 0.750 0.750 Sr
0.000 0.000 0.000 Nb

---

Entry 3:
ZrTcNiPb GGA-PBE optimized geometry; V = 70 Å³/cell; magnetization = 0.02 μB per cell; crystal system = cubic
1.0
-1.072 -4.477 -0.404
0.160 -2.758 3.705
-3.915 -1.615 1.850
Zr Pb Ni Tc
1 1 1 1
Direct
0.500 0.500 0.500 Zr
0.000 0.000 0.000 Pb
0.750 0.750 0.750 Ni
0.250 0.250 0.250 Tc

---

Entry 4:
NbC2 GGA-PBE optimized geometry; V = 203 Å³/cell; magnetization = 0.02 μB per cell; ΔE to the lowest computed polymorph = 563 meV per atom; crystal system = cubic
1.0
-5.837 -1.130 2.851
-3.307 -5.545 -1.342
-0.571 -4.693 4.597
C Nb
4 2
Direct
0.375 0.875 0.375 C
0.375 0.375 0.375 C
0.375 0.375 0.875 C
0.875 0.375 0.375 C
0.500 0.500 0.500 Nb
0.250 0.250 0.250 Nb

---

Entry 5:
MgScCuTe3 GGA-PBE optimized geometry; V = 301 Å³/cell; magnetization = 0.00 μB per cell; ΔE to the lowest computed polymorph = 31 meV per atom; crystal system = orthorhombic
1.0
6.877 -2.010 0.000
6.877 2.010 0.000
0.000 0.000 10.890
Sc Te Mg Cu
2 6 2 2
Direct
0.000 0.000 0.500 Sc
0.000 0.000 0.000 Sc
0.355 0.355 0.433 Te
0.100 0.100 0.250 Te
0.645 0.645 0.933 Te
0.355 0.355 0.067 Te
0.900 0.900 0.750 Te
0.645 0.645 0.567 Te
0.224 0.224 0.750 Mg
0.776 0.776 0.250 Mg
0.475 0.475 0.250 Cu
0.525 0.525 0.750 Cu

---

Entry 6:
Ga2Ir9 GGA-PBE optimized geometry; V = 240 Å³/cell; magnetization = 0.01 μB per cell; crystal system = trigonal
1.0
2.745 0.000 0.000
-1.372 2.377 0.000
0.000 0.000 36.745
Ir Ga
9 2
Direct
0.667 0.333 0.743 Ir
0.333 0.667 0.439 Ir
0.333 0.667 0.622 Ir
0.333 0.667 0.257 Ir
0.667 0.333 0.378 Ir
0.667 0.333 0.561 Ir
0.000 0.000 0.318 Ir
0.000 0.000 0.682 Ir
0.000 0.000 0.500 Ir
0.333 0.667 0.805 Ga
0.667 0.333 0.195 Ga

---

Entry 7:
K2PdBrCl3 GGA-PBE optimized geometry; V = 214 Å³/cell; crystal system = orthorhombic
1.0
-0.475 1.862 3.698
4.612 -4.643 2.930
5.266 4.584 -1.633
Br Cl K Pd
1 3 2 1
Direct
0.000 0.755 0.755 Br
0.000 0.228 0.776 Cl
0.000 0.238 0.238 Cl
0.000 0.776 0.228 Cl
0.500 0.490 0.013 K
0.500 0.013 0.490 K
0.000 0.001 0.001 Pd

---

Entry 8:
Ba2BiOsN6 GGA-PBE optimized geometry; V = 151 Å³/cell; magnetization = 0.01 μB per cell; crystal system = triclinic
1.0
5.955 0.000 0.000
2.968 5.175 0.000
2.972 1.706 4.888
N Os Ba Bi
6 1 2 1
Direct
0.753 0.739 0.282 N
0.247 0.261 0.718 N
0.217 0.746 0.279 N
0.783 0.254 0.721 N
0.233 0.292 0.244 N
0.767 0.708 0.756 N
0.000 0.500 0.500 Os
0.750 0.251 0.249 Ba
0.250 0.749 0.751 Ba
0.500 0.000 0.000 Bi

---

Entry 9:
CsZrAu GGA-PBE optimized geometry; V = 88 Å³/cell; magnetization = 0.05 μB per cell; ΔE to the lowest computed polymorph = 550 meV per atom; crystal system = cubic
1.0
2.134 -0.004 4.508
-0.503 3.951 3.001
-2.826 -0.324 4.097
Au Zr Cs
1 1 1
Direct
0.250 0.250 0.250 Au
0.750 0.750 0.750 Zr
0.000 0.000 0.000 Cs

---

Entry 10:
K2CoNiCl6 GGA-PBE optimized geometry; V = 219 Å³/cell; magnetization = 1.04 μB per cell; crystal system = cubic
1.0
-4.029 -4.839 -2.477
-5.403 -2.037 3.527
-6.225 1.553 -2.149
Co Cl K Ni
1 6 2 1
Direct
0.000 0.000 0.000 Co
0.750 0.250 0.750 Cl
0.750 0.750 0.250 Cl
0.750 0.250 0.250 Cl
0.250 0.250 0.750 Cl
0.250 0.750 0.250 Cl
0.250 0.750 0.750 Cl
0.750 0.750 0.750 K
0.250 0.250 0.250 K
0.500 0.500 0.500 Ni

---

Entry 11:
CdHgPb GGA-PBE optimized geometry; V = 320 Å³/cell; crystal system = orthorhombic
1.0
6.576 0.000 0.000
0.000 4.903 0.000
0.000 0.000 9.920
Hg Pb Cd
4 4 4
Direct
0.353 0.250 0.403 Hg
0.647 0.750 0.597 Hg
0.147 0.750 0.903 Hg
0.853 0.250 0.097 Hg
0.644 0.750 0.924 Pb
0.356 0.250 0.076 Pb
0.144 0.750 0.576 Pb
0.856 0.250 0.424 Pb
0.425 0.250 0.730 Cd
0.575 0.750 0.270 Cd
0.075 0.750 0.230 Cd
0.925 0.250 0.770 Cd

---

Entry 12:
Hf4Co3W2C3 GGA-PBE optimized geometry; V = 331 Å³/cell; magnetization = 3.47 μB per cell; crystal system = monoclinic
1.0
4.708 -2.724 0.000
4.708 2.724 0.000
-3.174 0.000 12.920
Hf Co C W
8 6 6 4
Direct
0.701 0.875 0.109 Hf
0.299 0.125 0.891 Hf
0.125 0.299 0.391 Hf
0.199 0.040 0.608 Hf
0.960 0.801 0.892 Hf
0.040 0.199 0.108 Hf
0.801 0.960 0.392 Hf
0.875 0.701 0.609 Hf
0.313 0.415 0.751 Co
0.145 0.855 0.250 Co
0.687 0.585 0.249 Co
0.585 0.687 0.749 Co
0.855 0.145 0.750 Co
0.415 0.313 0.251 Co
0.666 0.169 0.000 C
0.831 0.334 0.500 C
0.169 0.666 0.500 C
0.334 0.831 0.000 C
0.000 0.500 0.000 C
0.500 0.000 0.500 C
0.644 0.471 0.916 W
0.471 0.644 0.416 W
0.356 0.529 0.084 W
0.529 0.356 0.584 W

---

Entry 13:
DyTmAl2Au4 GGA-PBE optimized geometry; V = 161 Å³/cell; magnetization = 0.01 μB per cell; crystal system = hexagonal
1.0
-1.577 1.209 4.065
4.217 -1.589 -0.410
3.060 8.466 -1.331
Au Al Dy Tm
4 2 1 1
Direct
0.000 0.000 0.662 Au
0.000 0.000 0.338 Au
0.333 0.667 0.167 Au
0.333 0.667 0.833 Au
0.667 0.333 0.749 Al
0.667 0.333 0.251 Al
0.000 0.000 0.000 Dy
0.333 0.667 0.500 Tm

---

Entry 14:
YErPbN GGA-PBE optimized geometry; V = 168 Å³/cell; magnetization = 0.01 μB per cell; crystal system = hexagonal
1.0
-1.327 3.275 0.126
-2.158 -2.766 -0.441
-1.569 -1.230 15.396
Er Pb N Y
2 2 2 2
Direct
0.000 0.000 0.666 Er
0.000 0.000 0.334 Er
0.333 0.667 0.500 Pb
0.000 0.000 0.000 Pb
0.667 0.333 0.746 N
0.667 0.333 0.254 N
0.333 0.667 0.832 Y
0.333 0.667 0.168 Y

---

Entry 15:
ScTaNO GGA-PBE optimized geometry; V = 89 Å³/cell; magnetization = 0.25 μB per cell; ΔE to the lowest computed polymorph = 863 meV per atom; crystal system = tetragonal
1.0
-2.688 -1.825 -1.032
1.350 -0.222 -3.122
3.608 -6.455 2.020
Ta O N Sc
2 2 2 2
Direct
0.750 0.750 0.835 Ta
0.250 0.250 0.165 Ta
0.250 0.750 0.000 O
0.750 0.250 0.000 O
0.250 0.250 0.712 N
0.750 0.750 0.288 N
0.250 0.750 0.500 Sc
0.750 0.250 0.500 Sc

---

Entry 16:
TbErNi2B2P2 GGA-PBE optimized geometry; V = 118 Å³/cell; magnetization = 0.01 μB per cell; crystal system = tetragonal
1.0
-1.625 0.094 3.522
-1.306 -3.618 -0.506
6.605 -2.820 3.123
B Er Ni Tb P
2 1 2 1 2
Direct
0.000 0.000 0.404 B
0.500 0.500 0.593 B
0.000 0.000 0.795 Er
0.500 0.000 0.501 Ni
0.000 0.500 0.501 Ni
0.500 0.500 0.207 Tb
0.500 0.500 0.842 P
0.000 0.000 0.155 P

---

Entry 17:
Pr3Ge4S GGA-PBE optimized geometry; V = 214 Å³/cell; magnetization = 0.03 μB per cell; crystal system = monoclinic
1.0
5.957 0.000 0.000
0.000 4.159 0.000
-1.111 0.000 8.632
Ge S Pr
4 1 3
Direct
0.409 0.000 0.528 Ge
0.929 0.000 0.120 Ge
0.030 0.500 0.976 Ge
0.637 0.500 0.454 Ge
0.448 0.000 0.808 S
0.535 0.500 0.032 Pr
0.104 0.500 0.353 Pr
0.908 0.000 0.729 Pr

---

Entry 18:
CsCdFeS3 GGA-PBE optimized geometry; V = 307 Å³/cell; magnetization = 4.40 μB per cell; ΔE to the lowest computed polymorph = 0 meV per atom; crystal system = monoclinic
1.0
-3.119 6.814 -3.052
1.330 -0.847 -3.251
-7.673 -7.784 -1.110
Fe S Cs Cd
2 6 2 2
Direct
0.047 0.250 0.905 Fe
0.953 0.750 0.095 Fe
0.862 0.750 0.884 S
0.792 0.250 0.141 S
0.209 0.750 0.474 S
0.208 0.750 0.859 S
0.791 0.250 0.526 S
0.138 0.250 0.116 S
0.495 0.250 0.719 Cs
0.505 0.750 0.281 Cs
0.991 0.250 0.370 Cd
0.009 0.750 0.630 Cd

---

Entry 19:
Nd3Ga2Ni6 GGA-PBE optimized geometry; V = 371 Å³/cell; magnetization = 0.12 μB per cell; crystal system = cubic
1.0
6.900 -2.890 2.344
-1.324 6.841 3.592
-5.706 -5.057 1.823
Ni Ga Nd
12 4 6
Direct
0.335 0.671 0.335 Ni
0.000 0.665 0.335 Ni
0.329 0.665 0.665 Ni
0.335 0.000 0.665 Ni
0.671 0.335 0.335 Ni
0.335 0.335 0.671 Ni
0.000 0.335 0.665 Ni
0.665 0.335 0.000 Ni
0.665 0.000 0.335 Ni
0.665 0.665 0.329 Ni
0.335 0.665 0.000 Ni
0.665 0.329 0.665 Ni
0.500 0.000 0.000 Ga
0.000 0.000 0.500 Ga
0.000 0.500 0.000 Ga
0.500 0.500 0.500 Ga
0.710 0.000 0.710 Nd
0.710 0.710 0.000 Nd
0.290 0.290 0.000 Nd
0.290 0.000 0.290 Nd
0.000 0.710 0.710 Nd
0.000 0.290 0.290 Nd

---

Entry 20:
CdNiBPt GGA-PBE optimized geometry; V = 53 Å³/cell; magnetization = 0.01 μB per cell; ΔE to the lowest computed polymorph = 0 meV per atom; crystal system = cubic
1.0
2.871 -0.898 2.943
0.191 2.295 3.522
-1.201 -1.674 3.669
Ni Cd B Pt
1 1 1 1
Direct
0.500 0.500 0.500 Ni
0.750 0.750 0.750 Cd
0.000 0.000 0.000 B
0.250 0.250 0.250 Pt

---

Number 1: total energy -5.6487 eV/atom. Number 2: total energy -4.4050 eV/atom. Number 3: total energy -7.0117 eV/atom. Number 4: total energy -7.4367 eV/atom. Number 5: total energy -4.2154 eV/atom. Number 6: total energy -7.7579 eV/atom. Number 7: total energy -3.4041 eV/atom. Number 8: total energy -6.4106 eV/atom. Number 9: total energy -2.7554 eV/atom. Number 10: total energy -3.6825 eV/atom. Number 11: total energy -1.5900 eV/atom. Number 12: total energy -9.8739 eV/atom. Number 13: total energy -4.4635 eV/atom. Number 14: total energy -6.8751 eV/atom. Number 15: total energy -8.7244 eV/atom. Number 16: total energy -6.3104 eV/atom. Number 17: total energy -5.3267 eV/atom. Number 18: total energy -4.3175 eV/atom. Number 19: total energy -5.3478 eV/atom. Number 20: total energy -4.2898 eV/atom.